[1]
Material: AlV
Method: DFT, SCAN
State: single point on PBEsol structure

Cell: 2.6281 2.6281 4.0363 Å, 90.00 90.00 96.95°
Last column: nearest neighbours and their distance in Å.
Fractional coordinates of all 2 atoms:
Al (0.0000, 0.0000, 0.0000)  4 Al 2.63, 8 V 2.67-2.82
V (0.5000, 0.5000, 0.5000)  4 V 2.63, 8 Al 2.67-2.82

Values from the calculation:
Energy of formation from the pure elements, kJ per mole of atoms: -26.0
D(E_F), states/eV per cell: 1.045

[2]
Material: LiMg2Zn
Method: DFT, SCAN
State: single point on PBEsol structure

Cell: 5.3492 5.3492 5.3492 Å, 142.17 127.74 66.30°
Last column: nearest neighbours and their distance in Å.
Fractional coordinates of all 4 atoms:
Li (0.0000, 0.0000, 0.0000)  8 Mg 2.89-3.20, 4 Zn 2.93
Mg (0.2588, 0.7588, 0.5000)  2 Zn 2.77, 2 Li 2.89, 4 Mg 2.93
Mg (0.7412, 0.2412, 0.5000)  2 Zn 2.77, 2 Li 2.89, 4 Mg 2.93
Zn (0.5000, 0.5000, 0.0000)  4 Mg 2.77, 4 Li 2.93

Values from the calculation:
Energy of formation from the pure elements, kJ per mole of atoms: -6.7
D(E_F), states/eV per cell: 1.175

[3]
Material: HgMoAs2
Method: DFT, SCAN
State: single point on PBEsol structure

Cell: 5.3975 5.3975 5.3975 Å, 137.68 137.68 61.40°
Last column: nearest neighbours and their distance in Å.
Fractional coordinates of all 4 atoms:
Hg (0.0000, 0.0000, 0.0000)  8 As 2.76-3.03, 4 Mo 3.03
Mo (0.7500, 0.2500, 0.5000)  8 As 2.76-3.03, 4 Hg 3.03
As (0.2500, 0.7500, 0.5000)  4 Mo 2.76, 4 Hg 3.03, 4 As 3.03
As (0.5000, 0.5000, 0.0000)  4 Hg 2.76, 4 As 3.03, 4 Mo 3.03

Values from the calculation:
Energy of formation from the pure elements, kJ per mole of atoms: 54.5
D(E_F), states/eV per cell: 2.134

[4]
Material: Ca2ScCrSb
Method: DFT, SCAN
State: single point on PBEsol structure

Cell: 5.2734 5.2734 4.8311 Å, 90.00 90.00 90.00°
Last column: nearest neighbours and their distance in Å.
Fractional coordinates of all 5 atoms:
Ca (0.0000, 0.5000, 0.0000)  2 Cr 2.64
Ca (0.5000, 0.0000, 0.0000)  2 Cr 2.64
Sc (0.0000, 0.0000, 0.5000)  2 Cr 2.42
Cr (0.0000, 0.0000, 0.0000)  2 Sc 2.42, 4 Ca 2.64
Sb (0.5000, 0.5000, 0.5000)  8 Ca 3.58, 4 Sc 3.73

Values from the calculation:
E_form (uncorrected), eV/atom: 0.285
D(E_F), states/eV per cell: 2.648

[5]
Material: HgGe2WCl
Method: DFT, SCAN
State: single point on PBEsol structure

Cell: 4.9669 4.9669 4.6148 Å, 90.00 90.00 90.00°
Last column: nearest neighbours and their distance in Å.
Fractional coordinates of all 5 atoms:
Hg (0.0000, 0.0000, 0.0000)  8 Ge 3.39, 4 Cl 3.51
Ge (0.0000, 0.5000, 0.5000)  2 W 2.48
Ge (0.5000, 0.0000, 0.5000)  2 W 2.48
W (0.5000, 0.5000, 0.5000)  2 Cl 2.31, 4 Ge 2.48
Cl (0.5000, 0.5000, 0.0000)  2 W 2.31

Values from the calculation:
E_form (uncorrected), eV/atom: 0.422
D(E_F), states/eV per cell: 2.731

[6]
Material: Sc3CdN
Method: DFT, SCAN
State: single point on PBEsol structure

Cell: 4.4225 4.4225 4.4225 Å, 90.00 90.00 90.00°
Last column: nearest neighbours and their distance in Å.
Fractional coordinates of all 5 atoms:
Sc (0.0000, 0.0000, 0.5000)  2 N 2.21
Sc (0.0000, 0.5000, 0.0000)  2 N 2.21
Sc (0.5000, 0.0000, 0.0000)  2 N 2.21
Cd (0.5000, 0.5000, 0.5000)  12 Sc 3.13
N (0.0000, 0.0000, 0.0000)  6 Sc 2.21

Values from the calculation:
E_form (uncorrected), eV/atom: -1.197
D(E_F), states/eV per cell: 2.465

Q: Among the records above, which one has the lowest D(E_F)?
A: AlV

Q: What is the formula in the sixth record?
A: Sc3CdN

Q: What is the D(E_F) in the second record?
A: 1.175 states/eV per cell